No. 1
A plane-wave DFT calculation with PBE was carried out for GdThCuOs after structural relaxation.

**Raw total energy**: -9.399 eV per atom
**DFT formation energy**: -0.1920 eV/atom

Geometry as CIF:
```
data_GdThCuOs
_cell_length_a 7.050
_cell_length_b 7.050
_cell_length_c 7.050
_cell_angle_alpha 90.00
_cell_angle_beta 90.00
_cell_angle_gamma 90.00
_symmetry_space_group_name_H-M 'F -4 3 m'
_symmetry_Int_Tables_number 216
_symmetry_space_group_name_Hall 'F -4 2 3'
loop_
_atom_site_label
_atom_site_fract_x
_atom_site_fract_y
_atom_site_fract_z
Gd1 0.000 0.000 0.000
Th1 0.000 0.000 0.500
Cu1 0.250 0.250 0.750
Os1 0.250 0.250 0.250
```



No. 2
A plane-wave DFT calculation with PBE was carried out for GdTiCuOs after structural relaxation.

**Raw total energy**: -9.428 eV per atom
**DFT formation energy**: -0.1023 eV/atom

Geometry as CIF:
```
data_GdTiCuOs
_cell_length_a 6.565
_cell_length_b 6.565
_cell_length_c 6.565
_cell_angle_alpha 90.00
_cell_angle_beta 90.00
_cell_angle_gamma 90.00
_symmetry_space_group_name_H-M 'F -4 3 m'
_symmetry_Int_Tables_number 216
_symmetry_space_group_name_Hall 'F -4 2 3'
loop_
_atom_site_label
_atom_site_fract_x
_atom_site_fract_y
_atom_site_fract_z
Gd1 0.000 0.000 0.000
Ti1 0.000 0.000 0.500
Cu1 0.250 0.250 0.250
Os1 0.250 0.250 0.750
```



No. 3
A plane-wave DFT calculation with PBE was carried out for GdZrCuOs after structural relaxation.

**Raw total energy**: -9.692 eV per atom
**DFT formation energy**: -0.2031 eV/atom

Geometry as CIF:
```
data_GdZrCuOs
_cell_length_a 6.748
_cell_length_b 6.748
_cell_length_c 6.748
_cell_angle_alpha 90.00
_cell_angle_beta 90.00
_cell_angle_gamma 90.00
_symmetry_space_group_name_H-M 'F -4 3 m'
_symmetry_Int_Tables_number 216
_symmetry_space_group_name_Hall 'F -4 2 3'
loop_
_atom_site_label
_atom_site_fract_x
_atom_site_fract_y
_atom_site_fract_z
Gd1 0.000 0.000 0.000
Zr1 0.000 0.000 0.500
Cu1 0.250 0.250 0.750
Os1 0.250 0.250 0.250
```



No. 4
A plane-wave DFT calculation with PBE was carried out for PmGdCuP after structural relaxation.

**Raw total energy**: -7.678 eV per atom
**DFT formation energy**: -0.5936 eV/atom

Geometry as CIF:
```
data_PmGdCuP
_cell_length_a 7.024
_cell_length_b 7.024
_cell_length_c 7.024
_cell_angle_alpha 90.00
_cell_angle_beta 90.00
_cell_angle_gamma 90.00
_symmetry_space_group_name_H-M 'F -4 3 m'
_symmetry_Int_Tables_number 216
_symmetry_space_group_name_Hall 'F -4 2 3'
loop_
_atom_site_label
_atom_site_fract_x
_atom_site_fract_y
_atom_site_fract_z
Pm1 0.000 0.000 0.000
Gd1 0.000 0.000 0.500
Cu1 0.250 0.250 0.250
P1 0.250 0.250 0.750
```



No. 5
A plane-wave DFT calculation with PBE was carried out for GdPaCu2 after structural relaxation.

**Raw total energy**: -7.863 eV per atom
**DFT formation energy**: 0.0788 eV/atom

Geometry as CIF:
```
data_GdPaCu2
_cell_length_a 6.928
_cell_length_b 6.928
_cell_length_c 6.928
_cell_angle_alpha 90.00
_cell_angle_beta 90.00
_cell_angle_gamma 90.00
_symmetry_space_group_name_H-M 'F m -3 m'
_symmetry_Int_Tables_number 225
_symmetry_space_group_name_Hall '-F 4 2 3'
loop_
_atom_site_label
_atom_site_fract_x
_atom_site_fract_y
_atom_site_fract_z
Gd1 0.000 0.000 0.000
Pa1 0.000 0.000 0.500
Cu1 0.250 0.250 0.250
```



No. 6
A plane-wave DFT calculation with PBE was carried out for GdPaCu2 after structural relaxation.

**Raw total energy**: -7.929 eV per atom
**DFT formation energy**: 0.0135 eV/atom

Geometry as CIF:
```
data_GdPaCu2
_cell_length_a 3.305
_cell_length_b 3.305
_cell_length_c 7.522
_cell_angle_alpha 90.00
_cell_angle_beta 90.00
_cell_angle_gamma 90.00
_symmetry_space_group_name_H-M 'P 4/m m m'
_symmetry_Int_Tables_number 123
_symmetry_space_group_name_Hall '-P 4 2'
loop_
_atom_site_label
_atom_site_fract_x
_atom_site_fract_y
_atom_site_fract_z
Gd1 0.000 0.000 0.000
Pa1 0.000 0.000 0.500
Cu1 0.500 0.500 0.255
```



No. 7
A plane-wave DFT calculation with PBE was carried out for Gd2PaCu after structural relaxation.

**Raw total energy**: -10.413 eV per atom
**DFT formation energy**: 0.0251 eV/atom

Geometry as CIF:
```
data_Gd2PaCu
_cell_length_a 3.424
_cell_length_b 3.424
_cell_length_c 8.387
_cell_angle_alpha 90.00
_cell_angle_beta 90.00
_cell_angle_gamma 90.00
_symmetry_space_group_name_H-M 'P 4/m m m'
_symmetry_Int_Tables_number 123
_symmetry_space_group_name_Hall '-P 4 2'
loop_
_atom_site_label
_atom_site_fract_x
_atom_site_fract_y
_atom_site_fract_z
Gd1 0.000 0.000 0.216
Pa1 0.500 0.500 0.500
Cu1 0.500 0.500 0.000
```



No. 8
A plane-wave DFT calculation with PBE was carried out for GdPaCu2 after structural relaxation.

**Raw total energy**: -7.727 eV per atom
**DFT formation energy**: 0.2155 eV/atom

Geometry as CIF:
```
data_GdPaCu2
_cell_length_a 3.3729
_cell_length_b 3.3729
_cell_length_c 26.2924
_cell_angle_alpha 90.00
_cell_angle_beta 90.00
_cell_angle_gamma 120.00
_symmetry_space_group_name_H-M 'R -3 m'
_symmetry_Int_Tables_number 166
_symmetry_space_group_name_Hall '-R 3 2"'
loop_
_atom_site_label
_atom_site_fract_x
_atom_site_fract_y
_atom_site_fract_z
Gd1 0.0000 0.0000 0.0000
Pa1 0.0000 0.0000 0.5000
Cu1 0.0000 0.0000 0.2499
```



No. 9
A plane-wave DFT calculation with PBE was carried out for GdPaCuPd after structural relaxation.

**Raw total energy**: -8.433 eV per atom
**DFT formation energy**: -0.2168 eV/atom

Geometry as CIF:
```
data_GdPaCuPd
_cell_length_a 7.013
_cell_length_b 7.013
_cell_length_c 7.013
_cell_angle_alpha 90.00
_cell_angle_beta 90.00
_cell_angle_gamma 90.00
_symmetry_space_group_name_H-M 'F -4 3 m'
_symmetry_Int_Tables_number 216
_symmetry_space_group_name_Hall 'F -4 2 3'
loop_
_atom_site_label
_atom_site_fract_x
_atom_site_fract_y
_atom_site_fract_z
Gd1 0.000 0.000 0.000
Pa1 0.000 0.000 0.500
Cu1 0.250 0.250 0.750
Pd1 0.250 0.250 0.250
```



No. 10
A plane-wave DFT calculation with PBE was carried out for GdPaCuPt after structural relaxation.

**Raw total energy**: -8.867 eV per atom
**DFT formation energy**: -0.4387 eV/atom

Geometry as CIF:
```
data_GdPaCuPt
_cell_length_a 7.009
_cell_length_b 7.009
_cell_length_c 7.009
_cell_angle_alpha 90.00
_cell_angle_beta 90.00
_cell_angle_gamma 90.00
_symmetry_space_group_name_H-M 'F -4 3 m'
_symmetry_Int_Tables_number 216
_symmetry_space_group_name_Hall 'F -4 2 3'
loop_
_atom_site_label
_atom_site_fract_x
_atom_site_fract_y
_atom_site_fract_z
Gd1 0.000 0.000 0.000
Pa1 0.000 0.000 0.500
Cu1 0.250 0.250 0.750
Pt1 0.250 0.250 0.250
```



No. 11
A plane-wave DFT calculation with PBE was carried out for GdPaCuRu after structural relaxation.

**Raw total energy**: -9.401 eV per atom
**DFT formation energy**: -0.1640 eV/atom

Geometry as CIF:
```
data_GdPaCuRu
_cell_length_a 6.895
_cell_length_b 6.895
_cell_length_c 6.895
_cell_angle_alpha 90.00
_cell_angle_beta 90.00
_cell_angle_gamma 90.00
_symmetry_space_group_name_H-M 'F -4 3 m'
_symmetry_Int_Tables_number 216
_symmetry_space_group_name_Hall 'F -4 2 3'
loop_
_atom_site_label
_atom_site_fract_x
_atom_site_fract_y
_atom_site_fract_z
Gd1 0.000 0.000 0.000
Pa1 0.000 0.000 0.500
Cu1 0.250 0.250 0.250
Ru1 0.250 0.250 0.750
```



No. 12
A plane-wave DFT calculation with PBE was carried out for GdPaCuSi after structural relaxation.

**Raw total energy**: -8.432 eV per atom
**ΔE_f (raw)**: -158 meV/atom

Geometry as CIF:
```
data_GdPaCuSi
_cell_length_a 6.977
_cell_length_b 6.977
_cell_length_c 6.977
_cell_angle_alpha 90.00
_cell_angle_beta 90.00
_cell_angle_gamma 90.00
_symmetry_space_group_name_H-M 'F -4 3 m'
_symmetry_Int_Tables_number 216
_symmetry_space_group_name_Hall 'F -4 2 3'
loop_
_atom_site_label
_atom_site_fract_x
_atom_site_fract_y
_atom_site_fract_z
Gd1 0.000 0.000 0.000
Pa1 0.000 0.000 0.500
Cu1 0.250 0.250 0.750
Si1 0.250 0.250 0.250
```



No. 13
A plane-wave DFT calculation with PBE was carried out for GdPaCuTc after structural relaxation.

**Raw total energy**: -9.530 eV per atom
**DFT formation energy**: -0.0201 eV/atom

Geometry as CIF:
```
data_GdPaCuTc
_cell_length_a 6.906
_cell_length_b 6.906
_cell_length_c 6.906
_cell_angle_alpha 90.00
_cell_angle_beta 90.00
_cell_angle_gamma 90.00
_symmetry_space_group_name_H-M 'F -4 3 m'
_symmetry_Int_Tables_number 216
_symmetry_space_group_name_Hall 'F -4 2 3'
loop_
_atom_site_label
_atom_site_fract_x
_atom_site_fract_y
_atom_site_fract_z
Gd1 0.000 0.000 0.000
Pa1 0.000 0.000 0.500
Cu1 0.250 0.250 0.750
Tc1 0.250 0.250 0.250
```



No. 14
A plane-wave DFT calculation with PBE was carried out for GdPaZnCu after structural relaxation.

**Raw total energy**: -7.194 eV per atom
**DFT formation energy**: 0.0423 eV/atom

Geometry as CIF:
```
data_GdPaZnCu
_cell_length_a 7.040
_cell_length_b 7.040
_cell_length_c 7.040
_cell_angle_alpha 90.00
_cell_angle_beta 90.00
_cell_angle_gamma 90.00
_symmetry_space_group_name_H-M 'F -4 3 m'
_symmetry_Int_Tables_number 216
_symmetry_space_group_name_Hall 'F -4 2 3'
loop_
_atom_site_label
_atom_site_fract_x
_atom_site_fract_y
_atom_site_fract_z
Gd1 0.000 0.000 0.000
Pa1 0.000 0.000 0.500
Zn1 0.250 0.250 0.750
Cu1 0.250 0.250 0.250
```



No. 15
A plane-wave DFT calculation with PBE was carried out for PmGdCuPb after structural relaxation.

**Raw total energy**: -6.980 eV per atom
**DFT formation energy**: -0.3213 eV/atom

Geometry as CIF:
```
data_PmGdCuPb
_cell_length_a 7.488
_cell_length_b 7.488
_cell_length_c 7.488
_cell_angle_alpha 90.00
_cell_angle_beta 90.00
_cell_angle_gamma 90.00
_symmetry_space_group_name_H-M 'F -4 3 m'
_symmetry_Int_Tables_number 216
_symmetry_space_group_name_Hall 'F -4 2 3'
loop_
_atom_site_label
_atom_site_fract_x
_atom_site_fract_y
_atom_site_fract_z
Pm1 0.000 0.000 0.000
Gd1 0.000 0.000 0.500
Cu1 0.250 0.250 0.750
Pb1 0.250 0.250 0.250
```